Zr3AuN after structural relaxation. Source: Alexandria via LeMat-Bulk, functional PBE.

Cell: 3.1217 7.5349 7.5349 Å, 50.82 90.00 90.00°
With the nearest neighbours (Å) after each atom.
Sites, in units of the cell vectors:
Zr (0.0000, 0.0000, 0.0000)  1 N 2.41
Zr (0.5000, 0.0659, 0.6031)  2 N 2.17
Zr (0.5000, 0.6031, 0.0659)  2 N 2.17
Au (0.5000, 0.1726, 0.1726)  4 Zr 2.81-2.82, 2 Au 3.12
N (0.0000, 0.8231, 0.8231)  5 Zr 2.17-2.41

* formation energy (no corrections): -0.609 eV/f.u.
* VASP energy: -37.9 eV/cell
* V: 27.48 A^3/atom



Zr6AuN3 after structural relaxation. Source: Alexandria via LeMat-Bulk, functional PBE.

Cell: 10.1307 3.2419 10.3431 Å, 90.00 103.69 90.00°
With the nearest neighbours (Å) after each atom.
Sites, in units of the cell vectors:
Zr (0.0293, 0.2500, 0.1400)  4 N 2.26-2.48
Zr (0.1197, 0.7500, 0.4485)  4 N 2.32-2.43
Zr (0.1786, 0.2500, 0.7383)  3 N 2.23-2.33
Zr (0.2732, 0.7500, 0.0196)  2 N 2.23
Zr (0.3154, 0.2500, 0.2962)  2 N 2.17
Zr (0.4148, 0.2500, 0.5929)  3 N 2.25-2.41
Zr (0.5852, 0.7500, 0.4071)  3 N 2.25-2.41
Zr (0.6846, 0.7500, 0.7038)  2 N 2.17
Zr (0.7268, 0.2500, 0.9804)  2 N 2.23
Zr (0.8214, 0.7500, 0.2617)  3 N 2.23-2.33
Zr (0.8803, 0.2500, 0.5515)  4 N 2.32-2.43
Zr (0.9707, 0.7500, 0.8600)  4 N 2.26-2.48
Au (0.4599, 0.7500, 0.8457)  8 Zr 2.90-3.24, 2 Au 3.24
Au (0.5401, 0.2500, 0.1543)  8 Zr 2.90-3.24, 2 Au 3.24
N (0.0374, 0.7500, 0.6446)  6 Zr 2.23-2.48
N (0.1229, 0.2500, 0.9443)  6 Zr 2.23-2.43
N (0.3575, 0.7500, 0.4396)  5 Zr 2.17-2.41
N (0.6425, 0.2500, 0.5604)  5 Zr 2.17-2.41
N (0.8771, 0.7500, 0.0557)  6 Zr 2.23-2.43
N (0.9626, 0.2500, 0.3554)  6 Zr 2.23-2.48

* formation energy (no corrections): -10.865 eV/f.u.
* VASP energy: -180.8 eV/cell
* V: 16.50 A^3/atom



Zr3AuN after structural relaxation. Source: Alexandria via LeMat-Bulk, functional PBE.

Cell: 8.0357 8.0357 5.7919 Å, 90.00 90.00 105.90°
With the nearest neighbours (Å) after each atom.
Sites, in units of the cell vectors:
Zr (0.0480, 0.9520, 0.7768)  2 N 2.20-2.29
Zr (0.1502, 0.3498, 0.7500)  2 N 2.52
Zr (0.2260, 0.7740, 0.4568)  2 N 2.24-2.29
Zr (0.2740, 0.7260, 0.9568)  2 N 2.24-2.29
Zr (0.3498, 0.1502, 0.2500)  2 N 2.52
Zr (0.4520, 0.5480, 0.2768)  2 N 2.20-2.29
Zr (0.5480, 0.4520, 0.7232)  2 N 2.20-2.29
Zr (0.6502, 0.8498, 0.7500)  2 N 2.52
Zr (0.7260, 0.2740, 0.0432)  2 N 2.24-2.29
Zr (0.7740, 0.2260, 0.5432)  2 N 2.24-2.29
Zr (0.8498, 0.6502, 0.2500)  2 N 2.52
Zr (0.9520, 0.0480, 0.2232)  2 N 2.20-2.29
Au (0.0836, 0.4164, 0.2500)  9 Zr 2.86-3.05
Au (0.4164, 0.0836, 0.7500)  9 Zr 2.86-3.05
Au (0.5836, 0.9164, 0.2500)  9 Zr 2.86-3.05
Au (0.9164, 0.5836, 0.7500)  9 Zr 2.86-3.05
N (0.1195, 0.8805, 0.1386)  4 Zr 2.20-2.29
N (0.3805, 0.6195, 0.6386)  4 Zr 2.20-2.29
N (0.6195, 0.3805, 0.3614)  4 Zr 2.20-2.29
N (0.8805, 0.1195, 0.8614)  4 Zr 2.20-2.29

* formation energy (no corrections): -3.619 eV/f.u.
* VASP energy: -163.5 eV/cell
* V: 17.98 A^3/atom



Zr3AuN after structural relaxation. Source: Alexandria via LeMat-Bulk, functional PBE.

Cell: 6.2849 6.2849 6.2849 Å, 60.87 60.87 60.87°
With the nearest neighbours (Å) after each atom.
Sites, in units of the cell vectors:
Zr (0.2075, 0.7500, 0.2925)  2 N 2.25
Zr (0.2500, 0.7075, 0.7925)  2 N 2.25
Zr (0.2925, 0.2075, 0.7500)  2 N 2.25
Zr (0.7075, 0.7925, 0.2500)  2 N 2.25
Zr (0.7500, 0.2925, 0.2075)  2 N 2.25
Zr (0.7925, 0.2500, 0.7075)  2 N 2.25
Au (0.2500, 0.2500, 0.2500)  9 Zr 2.91-3.15
Au (0.7500, 0.7500, 0.7500)  9 Zr 2.91-3.15
N (0.0000, 0.0000, 0.0000)  6 Zr 2.25
N (0.5000, 0.5000, 0.5000)  6 Zr 2.25

* formation energy (no corrections): -4.789 eV/f.u.
* VASP energy: -84.1 eV/cell
* V: 17.90 A^3/atom



ZrAu3N after structural relaxation. Source: Alexandria via LeMat-Bulk, functional PBE.

Cell: 4.4580 4.4580 4.4580 Å, 90.00 90.00 90.00°
With the nearest neighbours (Å) after each atom.
Sites, in units of the cell vectors:
Zr (0.0000, 0.0000, 0.0000)  12 Au 3.15
Au (0.0000, 0.5000, 0.5000)  2 N 2.23
Au (0.5000, 0.0000, 0.5000)  2 N 2.23
Au (0.5000, 0.5000, 0.0000)  2 N 2.23
N (0.5000, 0.5000, 0.5000)  6 Au 2.23

* formation energy (no corrections): 3.238 eV/f.u.
* VASP energy: -23.5 eV/cell
* V: 17.72 A^3/atom



Zr3AuN after structural relaxation. Source: Alexandria via LeMat-Bulk, functional PBE.

Cell: 4.4751 4.4751 4.4751 Å, 90.00 90.00 90.00°
With the nearest neighbours (Å) after each atom.
Sites, in units of the cell vectors:
Zr (0.0000, 0.0000, 0.5000)  2 N 2.24
Zr (0.0000, 0.5000, 0.0000)  2 N 2.24
Zr (0.5000, 0.0000, 0.0000)  2 N 2.24
Au (0.5000, 0.5000, 0.5000)  12 Zr 3.16
N (0.0000, 0.0000, 0.0000)  6 Zr 2.24

* formation energy (no corrections): -4.752 eV/f.u.
* VASP energy: -42.0 eV/cell
* V: 17.92 A^3/atom



Zr5Au2N after structural relaxation. Source: Alexandria via LeMat-Bulk, functional PBE.

Cell: 7.7863 7.7863 11.1359 Å, 90.00 90.00 147.27°
With the nearest neighbours (Å) after each atom.
Sites, in units of the cell vectors:
Zr (0.1034, 0.8966, 0.6155)  1 N 2.30
Zr (0.1034, 0.8966, 0.8845)  1 N 2.30
Zr (0.2819, 0.7181, 0.2500)  2 N 2.19
Zr (0.3055, 0.6945, 0.5736)  1 N 2.34
Zr (0.3055, 0.6945, 0.9264)  1 N 2.34
Zr (0.6945, 0.3055, 0.0736)  1 N 2.34
Zr (0.6945, 0.3055, 0.4264)  1 N 2.34
Zr (0.7181, 0.2819, 0.7500)  2 N 2.19
Zr (0.8966, 0.1034, 0.1155)  1 N 2.30
Zr (0.8966, 0.1034, 0.3845)  1 N 2.30
Au (0.0841, 0.9159, 0.1296)  1 Au 2.68, 4 Zr 2.75-2.82
Au (0.0841, 0.9159, 0.3704)  1 Au 2.68, 4 Zr 2.75-2.82
Au (0.9159, 0.0841, 0.6296)  1 Au 2.68, 4 Zr 2.75-2.82
Au (0.9159, 0.0841, 0.8704)  1 Au 2.68, 4 Zr 2.75-2.82
N (0.2205, 0.7795, 0.7500)  6 Zr 2.19-2.34
N (0.7795, 0.2205, 0.2500)  6 Zr 2.19-2.34

* formation energy (no corrections): -2.488 eV/f.u.
* VASP energy: -120.2 eV/cell
* V: 22.82 A^3/atom



Zr3AuN after structural relaxation. Source: Alexandria via LeMat-Bulk, functional PBE.

Cell: 6.0273 6.0273 9.9119 Å, 98.90 98.90 31.97°
With the nearest neighbours (Å) after each atom.
Sites, in units of the cell vectors:
Zr (0.0000, 0.0000, 0.1517)  2 N 2.14-2.26
Zr (0.0000, 0.0000, 0.8483)  2 N 2.14-2.26
Zr (0.1478, 0.1478, 0.4258)  3 Au 2.94-3.12, 3 Zr 2.97-3.07
Zr (0.2701, 0.2701, 0.8656)  3 N 2.19-2.29
Zr (0.7299, 0.7299, 0.1344)  3 N 2.19-2.29
Zr (0.8522, 0.8522, 0.5742)  3 Au 2.94-3.12, 3 Zr 2.97-3.07
Au (0.3971, 0.3971, 0.3437)  7 Zr 2.92-3.12
Au (0.6029, 0.6029, 0.6563)  7 Zr 2.92-3.12
N (0.1404, 0.1404, 0.0172)  5 Zr 2.14-2.29
N (0.8596, 0.8596, 0.9828)  5 Zr 2.14-2.29

* formation energy (no corrections): -3.556 eV/f.u.
* VASP energy: -81.6 eV/cell
* V: 18.82 A^3/atom



Zr3AuN after structural relaxation. Source: Alexandria via LeMat-Bulk, functional PBE.

Cell: 3.3239 5.5959 5.5959 Å, 75.65 90.00 90.00°
With the nearest neighbours (Å) after each atom.
Sites, in units of the cell vectors:
Zr (0.0000, 0.0000, 0.0000)  2 N 2.11
Zr (0.5000, 0.0069, 0.4834)  1 N 2.03
Zr (0.5000, 0.4834, 0.0069)  1 N 2.03
Au (0.0000, 0.4740, 0.4740)  10 Zr 3.09-3.44, 2 Au 3.32
N (0.5000, 0.8525, 0.8525)  4 Zr 2.03-2.11

* formation energy (no corrections): -2.677 eV/f.u.
* VASP energy: -39.9 eV/cell
* V: 20.17 A^3/atom



Zr6AuN after structural relaxation. Source: Alexandria via LeMat-Bulk, functional PBE.

Cell: 5.2115 5.7188 5.8634 Å, 99.26 109.68 92.91°
With the nearest neighbours (Å) after each atom.
Sites, in units of the cell vectors:
Zr (0.0661, 0.2924, 0.1551)  1 N 2.31
Zr (0.2257, 0.8279, 0.4615)  1 N 2.25
Zr (0.3768, 0.3819, 0.7420)  1 N 2.21
Zr (0.6232, 0.6181, 0.2580)  1 N 2.21
Zr (0.7743, 0.1721, 0.5385)  1 N 2.25
Zr (0.9339, 0.7076, 0.8449)  1 N 2.31
Au (0.5000, 0.0000, 0.0000)  8 Zr 2.83-3.17
N (0.0000, 0.5000, 0.5000)  6 Zr 2.21-2.31

* formation energy (no corrections): -4.213 eV/f.u.
* VASP energy: -67.1 eV/cell
* V: 20.17 A^3/atom



Zr6Au2N after structural relaxation. Source: Alexandria via LeMat-Bulk, functional PBE.

Cell: 3.2897 7.7644 7.7644 Å, 117.22 90.00 90.00°
With the nearest neighbours (Å) after each atom.
Sites, in units of the cell vectors:
Zr (0.0000, 0.0000, 0.0000)  2 N 2.20
Zr (0.0000, 0.5460, 0.7681)  2 N 2.57
Zr (0.0000, 0.7681, 0.5460)  2 N 2.57
Zr (0.5000, 0.1643, 0.7406)  4 Au 2.87-2.97, 1 N 3.01, 2 Zr 3.19
Zr (0.5000, 0.3714, 0.3714)  4 Au 2.90, 4 Zr 3.20
Zr (0.5000, 0.7406, 0.1643)  4 Au 2.87-2.97, 1 N 3.01, 2 Zr 3.19
Au (0.0000, 0.0837, 0.4099)  8 Zr 2.87-3.08
Au (0.0000, 0.4099, 0.0837)  8 Zr 2.87-3.08
N (0.5000, 0.8189, 0.8189)  2 Zr 2.20

* formation energy (no corrections): -4.020 eV/f.u.
* VASP energy: -70.2 eV/cell
* V: 19.60 A^3/atom



Zr3AuN after structural relaxation. Source: Alexandria via LeMat-Bulk, functional PBE.

Cell: 3.7421 3.7421 16.5646 Å, 90.00 90.00 120.00°
With the nearest neighbours (Å) after each atom.
Sites, in units of the cell vectors:
Zr (0.0000, 0.0000, 0.2500)  3 N 2.16
Zr (0.0000, 0.0000, 0.7500)  3 N 2.16
Zr (0.3333, 0.6667, 0.1140)  1 N 2.25
Zr (0.3333, 0.6667, 0.3860)  1 N 2.25
Zr (0.6667, 0.3333, 0.6140)  1 N 2.25
Zr (0.6667, 0.3333, 0.8860)  1 N 2.25
Au (0.0000, 0.0000, 0.0000)  6 Zr 2.87
Au (0.0000, 0.0000, 0.5000)  6 Zr 2.87
N (0.3333, 0.6667, 0.2500)  5 Zr 2.16-2.25
N (0.6667, 0.3333, 0.7500)  5 Zr 2.16-2.25

* formation energy (no corrections): -2.810 eV/f.u.
* VASP energy: -80.1 eV/cell
* V: 20.09 A^3/atom



Q: VASP energy of number 10 (Zr6AuN)?
A: -67.1 eV/cell



Q: Which formula does entry 1 have?
A: Zr3AuN



Q: The lowest V belongs to which entry?
A: Zr6AuN3



Q: What is the formula in the sixth record?
A: Zr3AuN